# 1
Pa2Cd3Sn3, optimized geometry, DFT PBE; energy of formation = -0.160 eV per atom; V = 197.6 Å³ per cell; symmetry = Pmmm
1.0
-1.169 1.136 4.551
2.769 -3.356 1.549
6.752 5.714 0.308
Pa Cd Sn
2 3 3
Direct
0.000 0.000 0.742
0.000 0.000 0.258
0.500 0.500 0.241
0.500 0.500 0.759
0.500 0.000 0.000
0.500 0.000 0.500
0.000 0.500 0.000
0.000 0.500 0.500


# 2
PaCdSn2, optimized geometry, DFT PBE; offset from the most stable computed form = 324.9 meV per atom; energy of formation = 0.084 eV per atom; V = 102.3 Å³ per cell; symmetry = Fm-3m
1.0
-4.469 -2.094 -1.786
-0.255 -1.851 -4.905
-0.323 -5.171 -0.840
Sn Pa Cd
2 1 1
Direct
0.250 0.250 0.250
0.750 0.750 0.750
0.500 0.500 0.500
0.000 0.000 0.000


# 3
PaCd2Sn, optimized geometry, DFT PBE; offset from the most stable computed form = 295.3 meV per atom; energy of formation = 0.212 eV per atom; V = 98.9 Å³ per cell; symmetry = Fm-3m
1.0
5.191 0.000 0.000
2.596 4.496 0.000
2.596 1.499 4.239
Sn Cd Pa
1 2 1
Direct
0.500 0.500 0.500
0.750 0.750 0.750
0.250 0.250 0.250
0.000 0.000 0.000


# 4
PaCd2Sn, optimized geometry, DFT PBE; offset from the most stable computed form = 385.3 meV per atom; energy of formation = 0.302 eV per atom; V = 104.4 Å³ per cell; symmetry = R-3m
1.0
-1.784 -2.340 1.045
1.236 -2.210 1.827
-3.059 5.142 10.960
Sn Cd Pa
1 2 1
Direct
0.500 0.500 0.500
0.088 0.088 0.737
0.912 0.912 0.263
0.000 0.000 0.000


# 5
PaCdSn, optimized geometry, DFT PBE; energy of formation = 0.021 eV per atom; V = 149.7 Å³ per cell; symmetry = P4/nmm
1.0
-1.207 2.554 -1.398
-1.932 0.430 2.453
10.415 8.590 6.696
Sn Cd Pa
2 2 2
Direct
0.500 0.000 0.747
0.000 0.500 0.253
0.000 0.500 0.577
0.500 0.000 0.423
0.500 0.000 0.083
0.000 0.500 0.917


# 6
PaCd2Sn, optimized geometry, DFT PBE; offset from the most stable computed form = 0.0 meV per atom; energy of formation = -0.083 eV per atom; V = 98.8 Å³ per cell; symmetry = P4/mmm
1.0
-0.339 -1.854 -4.548
3.039 -3.121 1.046
-3.277 -2.735 1.359
Pa Cd Sn
1 2 1
Direct
0.500 0.500 0.500
0.000 0.500 0.000
0.000 0.000 0.500
0.500 0.000 0.000


# 7
Pa2CdSn, optimized geometry, DFT PBE; offset from the most stable computed form = 208.7 meV per atom; energy of formation = 0.179 eV per atom; V = 105.1 Å³ per cell; symmetry = Fm-3m
1.0
-1.064 3.895 3.429
-4.516 2.737 -0.419
-3.821 -0.625 3.616
Sn Cd Pa
1 1 2
Direct
0.000 0.000 0.000
0.500 0.500 0.500
0.750 0.750 0.750
0.250 0.250 0.250


# 8
PaCdSn, optimized geometry, DFT PBE; energy of formation = -0.024 eV per atom; V = 73.2 Å³ per cell; symmetry = P-6m2
1.0
3.114 0.000 0.000
0.000 5.209 0.000
0.000 -2.604 4.511
Sn Pa Cd
1 1 1
Direct
0.166 0.000 0.000
0.667 0.333 0.667
0.168 0.667 0.333


# 9
TmPaCdSn, optimized geometry, DFT PBE; energy of formation = -0.103 eV per atom; V = 103.9 Å³ per cell; symmetry = F-43m
1.0
-3.408 2.396 3.237
-5.169 -0.967 -0.427
-2.483 -2.774 3.739
Tm Pa Cd Sn
1 1 1 1
Direct
0.000 0.000 0.000
0.500 0.500 0.500
0.750 0.750 0.750
0.250 0.250 0.250


# 10
YPaCdSn, optimized geometry, DFT PBE; energy of formation = -0.130 eV per atom; V = 106.0 Å³ per cell; symmetry = F-43m
1.0
5.313 0.000 0.000
2.656 4.601 0.000
2.656 1.534 4.338
Pa Y Cd Sn
1 1 1 1
Direct
0.500 0.500 0.500
0.000 0.000 0.000
0.750 0.750 0.750
0.250 0.250 0.250


# 11
TbPaCd6, optimized geometry, DFT PBE; energy of formation = 0.369 eV per atom; V = 250.8 Å³ per cell; symmetry = R-3m
1.0
0.564 1.132 5.804
2.788 -3.883 3.526
8.242 2.895 1.675
Cd Pa Tb
6 1 1
Direct
0.064 0.557 0.315
0.936 0.936 0.685
0.936 0.443 0.685
0.557 0.064 0.315
0.443 0.936 0.685
0.064 0.064 0.315
0.500 0.500 0.500
0.000 0.000 0.000


# 12
Tb2PaCd, optimized geometry, DFT PBE; offset from the most stable computed form = 201.0 meV per atom; energy of formation = 0.141 eV per atom; V = 108.4 Å³ per cell; symmetry = P4/mmm
1.0
-3.846 -0.475 2.344
-2.503 -0.381 -4.185
0.636 -4.850 0.061
Tb Pa Cd
2 1 1
Direct
0.000 0.500 0.000
0.000 0.000 0.500
0.500 0.500 0.500
0.500 0.000 0.000


# 13
TbPaCd4, optimized geometry, DFT PBE; energy of formation = -0.007 eV per atom; V = 145.2 Å³ per cell; symmetry = F-43m
1.0
-2.243 -0.567 -5.427
2.169 -4.070 -3.678
-3.222 -4.746 -1.379
Tb Pa Cd
1 1 4
Direct
0.000 0.000 0.000
0.250 0.250 0.250
0.625 0.625 0.625
0.125 0.625 0.625
0.625 0.125 0.625
0.625 0.625 0.125


# 14
Tb2PaCd, optimized geometry, DFT PBE; offset from the most stable computed form = 293.9 meV per atom; energy of formation = 0.234 eV per atom; V = 109.8 Å³ per cell; symmetry = R-3m
1.0
-2.848 1.477 -0.574
-2.154 0.380 2.416
3.247 11.151 3.339
Tb Pa Cd
2 1 1
Direct
0.910 0.910 0.271
0.090 0.090 0.729
0.000 0.000 0.000
0.500 0.500 0.500


# 15
Tb2PaCd, optimized geometry, DFT PBE; offset from the most stable computed form = 0.0 meV per atom; energy of formation = -0.060 eV per atom; V = 108.5 Å³ per cell; symmetry = P4/mmm
1.0
3.436 0.000 0.000
0.000 3.436 0.000
0.000 0.000 9.191
Tb Pa Cd
2 1 1
Direct
0.000 0.000 0.759
0.000 0.000 0.241
0.500 0.500 0.500
0.500 0.500 0.000


# 16
TbPaCd, optimized geometry, DFT PBE; energy of formation = 0.501 eV per atom; V = 176.4 Å³ per cell; symmetry = Fmmm
1.0
-1.924 3.251 -3.774
-4.797 0.537 -0.869
-1.254 7.631 3.435
Cd Tb Pa
2 2 2
Direct
0.168 0.664 0.000
0.832 0.336 0.000
0.599 0.000 0.802
0.401 0.000 0.198
0.750 0.500 0.500
0.250 0.500 0.500


# 17
TbPaCdTc, optimized geometry, DFT PBE; energy of formation = 0.069 eV per atom; V = 91.6 Å³ per cell; symmetry = F-43m
1.0
-0.023 1.191 4.918
-2.563 -2.870 3.286
2.497 -2.894 3.315
Tc Tb Cd Pa
1 1 1 1
Direct
0.250 0.250 0.250
0.500 0.500 0.500
0.750 0.750 0.750
0.000 0.000 0.000


# 18
Pa2CdTc, optimized geometry, DFT PBE; offset from the most stable computed form = 224.6 meV per atom; energy of formation = 0.127 eV per atom; V = 86.3 Å³ per cell; symmetry = P4/mmm
1.0
-3.549 -2.272 -0.994
1.658 -3.536 2.162
-1.946 1.392 3.769
Pa Cd Tc
2 1 1
Direct
0.000 0.000 0.500
0.000 0.500 0.000
0.500 0.500 0.500
0.500 0.000 0.000


# 19
PaCdTc, optimized geometry, DFT PBE; energy of formation = 0.043 eV per atom; V = 64.7 Å³ per cell; symmetry = I4mm
1.0
3.279 0.000 0.000
0.000 3.279 0.000
-1.640 -1.640 6.020
Tc Pa Cd
1 1 1
Direct
0.675 0.675 0.349
0.304 0.304 0.607
0.022 0.022 0.043


# 20
Pa2CdTc, optimized geometry, DFT PBE; offset from the most stable computed form = 0.0 meV per atom; energy of formation = -0.098 eV per atom; V = 90.1 Å³ per cell; symmetry = P4/mmm
1.0
-0.749 2.352 2.004
-1.470 -2.085 1.898
7.619 -1.344 4.424
Cd Pa Tc
1 2 1
Direct
0.500 0.500 0.500
0.000 0.000 0.210
0.000 0.000 0.790
0.500 0.500 0.000